A plane-wave DFT calculation with PBE was carried out for crystalline PaGePd at its relaxed geometry.

Calculated values
E_tot ... -85.495 eV for the cell shown

Cell: 4.3730 7.1653 7.6279 Å, 90.00 90.00 90.00°
With the nearest neighbours (Å) after each atom.
Space group Imm2 (No. 44)
Symmetry-distinct sites (fractional):
Pa  0.0000  0.0000  0.0000 [2 per cell]  6 Ge 3.07-3.09, 6 Pd 3.12-3.20
Pa  0.0000  0.5000  0.0512 [2 per cell]  6 Pd 3.05-3.11, 6 Ge 3.09-3.23
Ge  0.0000  0.2688  0.6871 [4 per cell]  3 Pd 2.54-2.55
Pd  0.0000  0.2125  0.3564 [4 per cell]  3 Ge 2.54-2.55